# 1
# InPbCl2 (SCAN, PBEsol geometry)
# - space-group type = F-43m (216)
# - offset from the most stable computed form (meV per atom) = 353.9
# - formation energy from raw total energies (eV/atom) = -0.4083
data_InPbCl2
_chemical_formula_sum 'In1 Pb1 Cl2'
_space_group_name_H-M_alt 'P 1'
_space_group_IT_number 1
_cell_length_a 5.1584
_cell_length_b 5.1584
_cell_length_c 5.1584
_cell_angle_alpha 60.00
_cell_angle_beta 60.00
_cell_angle_gamma 60.00
loop_
_space_group_symop_operation_xyz
'x,y,z'
loop_
_atom_site_label
_atom_site_type_symbol
_atom_site_fract_x
_atom_site_fract_y
_atom_site_fract_z
In1 In 0.0000 0.0000 0.0000
Pb1 Pb 0.2500 0.2500 0.2500
Cl1 Cl 0.5000 0.5000 0.5000
Cl2 Cl 0.7500 0.7500 0.7500


# 2
# KAl2AgTe (SCAN, PBEsol geometry)
# - space-group type = P4/mmm (123)
# - formation energy from raw total energies (eV/atom) = 0.0651
data_KAl2AgTe
_chemical_formula_sum 'K1 Al2 Ag1 Te1'
_space_group_name_H-M_alt 'P 1'
_space_group_IT_number 1
_cell_length_a 4.9042
_cell_length_b 4.9042
_cell_length_c 5.9492
_cell_angle_alpha 90.00
_cell_angle_beta 90.00
_cell_angle_gamma 90.00
loop_
_space_group_symop_operation_xyz
'x,y,z'
loop_
_atom_site_label
_atom_site_type_symbol
_atom_site_fract_x
_atom_site_fract_y
_atom_site_fract_z
K1 K 0.0000 0.0000 0.0000
Al1 Al 0.0000 0.5000 0.5000
Al2 Al 0.5000 0.0000 0.5000
Ag1 Ag 0.5000 0.5000 0.5000
Te1 Te 0.5000 0.5000 0.0000


# 3
# Zr3GePt (SCAN, PBEsol geometry)
# - space-group type = Pm-3m (221)
# - formation energy from the elements (eV per atom) = -0.05
data_Zr3GePt
_chemical_formula_sum 'Zr3 Ge1 Pt1'
_space_group_name_H-M_alt 'P 1'
_space_group_IT_number 1
_cell_length_a 5.0040
_cell_length_b 5.0040
_cell_length_c 5.0040
_cell_angle_alpha 90.00
_cell_angle_beta 90.00
_cell_angle_gamma 90.00
loop_
_space_group_symop_operation_xyz
'x,y,z'
loop_
_atom_site_label
_atom_site_type_symbol
_atom_site_fract_x
_atom_site_fract_y
_atom_site_fract_z
Zr1 Zr 0.0000 0.0000 0.5000
Zr2 Zr 0.0000 0.5000 0.0000
Zr3 Zr 0.5000 0.0000 0.0000
Ge1 Ge 0.5000 0.5000 0.5000
Pt1 Pt 0.0000 0.0000 0.0000


# 4
# Mg2ZrHg (SCAN, PBEsol geometry)
# - space-group type = P4/mmm (123)
# - formation energy from the elements (eV per atom) = -0.26
data_Mg2ZrHg
_chemical_formula_sum 'Mg2 Zr1 Hg1'
_space_group_name_H-M_alt 'P 1'
_space_group_IT_number 1
_cell_length_a 4.2786
_cell_length_b 4.2786
_cell_length_c 4.4712
_cell_angle_alpha 90.00
_cell_angle_beta 90.00
_cell_angle_gamma 90.00
loop_
_space_group_symop_operation_xyz
'x,y,z'
loop_
_atom_site_label
_atom_site_type_symbol
_atom_site_fract_x
_atom_site_fract_y
_atom_site_fract_z
Mg1 Mg 0.0000 0.5000 0.0000
Mg2 Mg 0.5000 0.0000 0.0000
Zr1 Zr 0.0000 0.0000 0.5000
Hg1 Hg 0.5000 0.5000 0.5000


# 5
# Ba6Ti7Nb9O42 (SCAN, PBEsol geometry)
# - space-group type = Cm (8)
# - formation energy from raw total energies (eV/atom) = -3.1303
data_Ba6Ti7Nb9O42
_chemical_formula_sum 'Ba6 Ti7 Nb9 O42'
_space_group_name_H-M_alt 'P 1'
_space_group_IT_number 1
_cell_length_a 9.0958
_cell_length_b 9.0958
_cell_length_c 11.7777
_cell_angle_alpha 90.03
_cell_angle_beta 90.03
_cell_angle_gamma 119.88
loop_
_space_group_symop_operation_xyz
'x,y,z'
loop_
_atom_site_label
_atom_site_type_symbol
_atom_site_fract_x
_atom_site_fract_y
_atom_site_fract_z
Ba1 Ba 0.0000 0.0000 0.0000
Ba2 Ba 0.3963 0.9992 0.4949
Ba3 Ba 0.4025 0.8072 0.9999
Ba4 Ba 0.8072 0.4025 0.9999
Ba5 Ba 0.8144 0.8144 0.4941
Ba6 Ba 0.9992 0.3963 0.4949
Ti1 Ti 0.1539 0.1539 0.3357
Ti2 Ti 0.1602 0.3991 0.1548
Ti3 Ti 0.1653 0.1653 0.6452
Ti4 Ti 0.3991 0.1602 0.1548
Ti5 Ti 0.4041 0.6438 0.6510
Ti6 Ti 0.6431 0.6431 0.1518
Ti7 Ti 0.6438 0.4041 0.6510
Nb1 Nb 0.0687 0.7390 0.2384
Nb2 Nb 0.0704 0.7358 0.7351
Nb3 Nb 0.1563 0.4012 0.8401
Nb4 Nb 0.4012 0.1563 0.8401
Nb5 Nb 0.4013 0.6473 0.3389
Nb6 Nb 0.6473 0.4013 0.3389
Nb7 Nb 0.6519 0.6519 0.8389
Nb8 Nb 0.7358 0.0704 0.7351
Nb9 Nb 0.7390 0.0687 0.2384
O1 O 0.0875 0.5721 0.8462
O2 O 0.0895 0.9219 0.3434
O3 O 0.0938 0.5701 0.1463
O4 O 0.0939 0.9249 0.6431
O5 O 0.1943 0.1943 0.4928
O6 O 0.1950 0.1950 0.8199
O7 O 0.1971 0.4015 0.3193
O8 O 0.2005 0.2005 0.1716
O9 O 0.2036 0.4025 0.9970
O10 O 0.2052 0.4024 0.6691
O11 O 0.2344 0.7196 0.3485
O12 O 0.2345 0.9236 0.1406
O13 O 0.2355 0.7123 0.6420
O14 O 0.2347 0.9172 0.8466
O15 O 0.4015 0.1971 0.3193
O16 O 0.4025 0.2036 0.9970
O17 O 0.4024 0.2052 0.6691
O18 O 0.4030 0.5997 0.4965
O19 O 0.4030 0.6106 0.8189
O20 O 0.4036 0.6017 0.1697
O21 O 0.5701 0.0938 0.1463
O22 O 0.5704 0.8810 0.6426
O23 O 0.5721 0.0875 0.8462
O24 O 0.5724 0.8877 0.3472
O25 O 0.5997 0.4030 0.4965
O26 O 0.6017 0.4036 0.1697
O27 O 0.6022 0.6022 0.9959
O28 O 0.6049 0.6049 0.6693
O29 O 0.6106 0.4030 0.8189
O30 O 0.6130 0.6130 0.3197
O31 O 0.7123 0.2355 0.6420
O32 O 0.7118 0.8803 0.1424
O33 O 0.7195 0.8894 0.8470
O34 O 0.7196 0.2344 0.3485
O35 O 0.8803 0.7118 0.1424
O36 O 0.8810 0.5704 0.6426
O37 O 0.8877 0.5724 0.3472
O38 O 0.8894 0.7195 0.8470
O39 O 0.9172 0.2347 0.8466
O40 O 0.9219 0.0895 0.3434
O41 O 0.9236 0.2345 0.1406
O42 O 0.9249 0.0939 0.6431


# 6
# Ag2H2Pb (SCAN, PBEsol geometry)
# - DFT total energy (eV/atom) = -28.734
# - space-group type = I4/mmm (139)
data_Ag2H2Pb
_chemical_formula_sum 'Ag2 H2 Pb1'
_space_group_name_H-M_alt 'P 1'
_space_group_IT_number 1
_cell_length_a 6.5426
_cell_length_b 6.5426
_cell_length_c 6.5426
_cell_angle_alpha 149.62
_cell_angle_beta 149.62
_cell_angle_gamma 43.50
loop_
_space_group_symop_operation_xyz
'x,y,z'
loop_
_atom_site_label
_atom_site_type_symbol
_atom_site_fract_x
_atom_site_fract_y
_atom_site_fract_z
Ag1 Ag 0.1730 0.1730 0.0000
Ag2 Ag 0.8270 0.8270 0.0000
H1 H 0.2500 0.7500 0.5000
H2 H 0.7500 0.2500 0.5000
Pb1 Pb 0.5000 0.5000 0.0000